[1]
Computed, not measured: a geometry-optimized YbB4Os structure at the GGA-PBE level of DFT.

Unit cell a=5.970 b=11.545 c=3.527 alpha=90.00 beta=90.00 gamma=90.00
Atoms (fractional coordinates):
Yb 0.129 0.150 0.000
Yb 0.371 0.650 0.000
Yb 0.629 0.350 0.000
Yb 0.871 0.850 0.000
B 0.025 0.692 0.500
B 0.114 0.547 0.500
B 0.135 0.970 0.500
B 0.212 0.814 0.500
B 0.288 0.314 0.500
B 0.365 0.470 0.500
B 0.386 0.047 0.500
B 0.475 0.192 0.500
B 0.525 0.808 0.500
B 0.614 0.953 0.500
B 0.635 0.530 0.500
B 0.712 0.686 0.500
B 0.788 0.186 0.500
B 0.865 0.030 0.500
B 0.886 0.453 0.500
B 0.975 0.308 0.500
Os 0.138 0.410 0.000
Os 0.362 0.910 0.000
Os 0.638 0.090 0.000
Os 0.862 0.590 0.000

D(E_F): 1.84 states/eV/f.u.
volume: 10.13 A^3/atom
crystal system: orthorhombic
VASP energy: -7.06 eV per atom
space-group type: Pbam
M_tot: 0.0 μB/f.u.

[2]
Computed, not measured: a geometry-optimized TiInHgI6 structure at the GGA-PBE level of DFT.

Unit cell a=7.407 b=7.407 c=9.475 alpha=90.00 beta=90.00 gamma=120.00
Atoms (fractional coordinates):
Ti 0.000 0.000 0.000
In 0.667 0.333 0.000
Hg 0.333 0.667 0.500
I 0.314 0.017 0.174
I 0.314 0.297 0.826
I 0.703 0.017 0.826
I 0.703 0.686 0.174
I 0.983 0.297 0.174
I 0.983 0.686 0.826

D(E_F): 2.88 states/eV/f.u.
volume: 50.03 A^3/atom
crystal system: trigonal
space-group type: P312
M_tot: 1.1 μB/f.u.
ΔE_f (raw): -52 kJ per mole of atoms

[3]
Computed, not measured: a geometry-optimized BaSrInSn structure at the GGA-PBE level of DFT.

Unit cell a=4.769 b=5.064 c=12.826 alpha=90.00 beta=90.00 gamma=90.00
Atoms (fractional coordinates):
Ba 0.000 0.000 0.000
Ba 0.000 0.500 0.500
Sr 0.500 0.000 0.722
Sr 0.500 0.500 0.222
In 0.500 0.000 0.425
In 0.500 0.500 0.925
Sn 0.000 0.000 0.282
Sn 0.000 0.500 0.782

D(E_F): 2.17 states/eV/f.u.
volume: 38.71 A^3/atom
crystal system: orthorhombic
space-group type: Amm2
M_tot: 0.0 μB/f.u.
distance to the lowest polymorph of the same formula: 0.0 meV per atom